1.
Here is crystalline InAg2Au at its relaxed geometry from Alexandria via LeMat-Bulk. Energies are from GGA-PBE.

The value obtained for the total energy is -2.8572 eV per atom. As for the theoretical density: 11.16 g/cm3. The calculation puts the density of states at the Fermi level at 0.80 states/eV/atom.

The structure belongs to space group R-3m (No. 166, hexagonal axes); the cell edges are 3.1520, 3.1520 and 27.3596 Å and the angles 90.00°, 90.00° and 120.00°. Symmetry generates all atoms from In at (0.0000, 0.0000, 0.0000), Ag at (0.0000, 0.0000, 0.2483) and Au at (0.0000, 0.0000, 0.5000).



2.
Here is crystalline InAg2Au2 at its relaxed geometry from Alexandria via LeMat-Bulk. Energies are from GGA-PBE.

For the polymorph energy (0 for the lowest one), the calculation gives 173 meV/atom. The value obtained for the total energy is -2.9339 eV per atom. As for the theoretical density: 11.28 g/cm3. The calculation puts the density of states at the Fermi level at 0.24 states/eV/atom.

The structure belongs to space group I4/mmm (No. 139); the cell edges are 3.909, 3.909 and 13.965 Å and the angles 90.00°, 90.00° and 90.00°. Symmetry generates all atoms from In at (0.000, 0.000, 0.000), Ag at (0.000, 0.000, 0.402) and Au at (0.000, 0.500, 0.250).



3.
Here is crystalline In3AgAu5 at its relaxed geometry from Alexandria via LeMat-Bulk. Energies are from GGA-PBE.

The value obtained for the total energy is -3.0234 eV per atom. As for the theoretical density: 12.00 g/cm3. The calculation puts the density of states at the Fermi level at 0.38 states/eV/atom.

The structure belongs to space group I4/mcm (No. 140); the cell edges are 7.184, 7.184 and 15.420 Å and the angles 90.00°, 90.00° and 90.00°. Symmetry generates all atoms from In at (0.000, 0.000, 0.250), In at (0.136, 0.364, 0.000), Ag at (0.000, 0.500, 0.250), Au at (0.000, 0.000, 0.000) and Au at (0.245, 0.255, 0.342).



4.
Here is crystalline In2Ag3Au2 at its relaxed geometry from Alexandria via LeMat-Bulk. Energies are from GGA-PBE.

For the polymorph energy (0 for the lowest one), the calculation gives 111 meV/atom. The value obtained for the total energy is -2.8989 eV per atom. As for the theoretical density: 10.62 g/cm3. The calculation puts the density of states at the Fermi level at 0.32 states/eV/atom.

The structure belongs to space group I2_13 (No. 199); the cell edges are 8.399, 8.399 and 8.399 Å and the angles 90.00°, 90.00° and 90.00°. Symmetry generates all atoms from In at (0.002, 0.002, 0.002), Ag at (0.000, 0.250, 0.246) and Au at (0.181, 0.319, 0.681).



5.
Here is crystalline InAg2Au3 at its relaxed geometry from Alexandria via LeMat-Bulk. Energies are from GGA-PBE.

For the polymorph energy (0 for the lowest one), the calculation gives 0 meV/atom. The value obtained for the total energy is -3.1247 eV per atom. As for the theoretical density: 13.62 g/cm3. The calculation puts the density of states at the Fermi level at 0.17 states/eV/atom.

The structure belongs to space group P2/m (No. 10); the cell edges are 4.387, 7.792 and 6.857 Å and the angles 90.00°, 106.54° and 90.00°. Symmetry generates all atoms from In at (0.159, 0.000, 0.315), Ag at (0.170, 0.500, 0.338), Ag at (0.500, 0.000, 0.000), Ag at (0.500, 0.500, 0.000), Au at (0.000, 0.260, 0.000) and Au at (0.331, 0.248, 0.665).



6.
Here is crystalline In2AgAu5 at its relaxed geometry from Alexandria via LeMat-Bulk. Energies are from GGA-PBE.

The value obtained for the total energy is -3.1956 eV per atom. As for the theoretical density: 14.51 g/cm3. The calculation puts the density of states at the Fermi level at 0.22 states/eV/atom.

The structure belongs to space group Pbam (No. 55); the cell edges are 5.984, 11.863 and 4.264 Å and the angles 90.00°, 90.00° and 90.00°. Symmetry generates all atoms from In at (0.242, 0.127, 0.000), Ag at (0.000, 0.500, 0.500), Au at (0.000, 0.000, 0.500), Au at (0.005, 0.751, 0.500) and Au at (0.238, 0.378, 0.000).



7.
Here is crystalline In2Ag6Au at its relaxed geometry from Alexandria via LeMat-Bulk. Energies are from GGA-PBE.

For the polymorph energy (0 for the lowest one), the calculation gives 74 meV/atom. The value obtained for the total energy is -2.8514 eV per atom. As for the theoretical density: 9.81 g/cm3. The calculation puts the density of states at the Fermi level at 0.31 states/eV/atom.

The structure belongs to space group C2/m (No. 12); the cell edges are 9.742, 7.624 and 5.034 Å and the angles 90.00°, 103.46° and 90.00°. Symmetry generates all atoms from In at (0.197, 0.000, 0.338), Ag at (0.082, 0.185, 0.789), Ag at (0.151, 0.500, 0.094) and Au at (0.000, 0.500, 0.500).



8.
Here is crystalline InAg12Au7 at its relaxed geometry from Alexandria via LeMat-Bulk. Energies are from GGA-PBE.

The value obtained for the total energy is -2.9647 eV per atom. As for the theoretical density: 12.30 g/cm3. The calculation puts the density of states at the Fermi level at 0.33 states/eV/atom.

The structure belongs to space group R-3 (No. 148, hexagonal axes); the cell edges are 12.3485, 12.3485 and 8.5479 Å and the angles 90.00°, 90.00° and 120.00°. Symmetry generates all atoms from In at (0.0000, 0.0000, 0.0000), Ag at (0.0504, 0.8066, 0.0784), Ag at (0.0634, 0.8200, 0.4173), Au at (0.0000, 0.0000, 0.5000) and Au at (0.0544, 0.8382, 0.7485).



Please write out number 6 again, unchanged.
Here is crystalline In2AgAu5 at its relaxed geometry from Alexandria via LeMat-Bulk. Energies are from GGA-PBE.

The value obtained for the total energy is -3.1956 eV per atom. As for the theoretical density: 14.51 g/cm3. The calculation puts the density of states at the Fermi level at 0.22 states/eV/atom.

The structure belongs to space group Pbam (No. 55); the cell edges are 5.984, 11.863 and 4.264 Å and the angles 90.00°, 90.00° and 90.00°. Symmetry generates all atoms from In at (0.242, 0.127, 0.000), Ag at (0.000, 0.500, 0.500), Au at (0.000, 0.000, 0.500), Au at (0.005, 0.751, 0.500) and Au at (0.238, 0.378, 0.000).



Please write out number 5 again, unchanged.
Here is crystalline InAg2Au3 at its relaxed geometry from Alexandria via LeMat-Bulk. Energies are from GGA-PBE.

For the polymorph energy (0 for the lowest one), the calculation gives 0 meV/atom. The value obtained for the total energy is -3.1247 eV per atom. As for the theoretical density: 13.62 g/cm3. The calculation puts the density of states at the Fermi level at 0.17 states/eV/atom.

The structure belongs to space group P2/m (No. 10); the cell edges are 4.387, 7.792 and 6.857 Å and the angles 90.00°, 106.54° and 90.00°. Symmetry generates all atoms from In at (0.159, 0.000, 0.315), Ag at (0.170, 0.500, 0.338), Ag at (0.500, 0.000, 0.000), Ag at (0.500, 0.500, 0.000), Au at (0.000, 0.260, 0.000) and Au at (0.331, 0.248, 0.665).



Question: Among the records above, which one has the lowest density of states at the Fermi level?
Answer: InAg2Au3



Question: The lowest density of states at the Fermi level belongs to which entry?
Answer: InAg2Au3